Below is AlInS2 after structural relaxation, with properties calculated at the PBE-GGA level.

The total energy is -4.47 eV per atom. Its crystal system is monoclinic. The value obtained for the magnetization is 0.00 μB per formula unit.

Unit cell a=6.3978 b=6.3978 c=8.0964 alpha=111.85 beta=111.85 gamma=54.68
Last column: nearest neighbours and their distance in Å.
Fractional positions:
Al  0.0000  0.0000  0.0000  4 S 2.27-2.28
Al  0.5068  0.4932  0.0000  4 S 2.27-2.29
In  0.3030  0.3753  0.3203  3 S 2.98-3.13
In  0.6247  0.6970  0.6797  3 S 2.98-3.13
S  0.0971  0.5921  0.9884  2 Al 2.28-2.29
S  0.4079  0.9029  0.0116  2 Al 2.28-2.29
S  0.6860  0.1790  0.7630  2 Al 2.27
S  0.8210  0.3140  0.2370  2 Al 2.27

---

Below is As2Cl3OF5 after structural relaxation, with properties calculated at the PBE-GGA level.

The total energy is -4.12 eV per atom. Its crystal system is monoclinic. The value obtained for the magnetization is 0.13 μB per formula unit.

Unit cell a=6.2771 b=19.5539 c=7.9961 alpha=90.00 beta=107.98 gamma=90.00
Last column: nearest neighbours and their distance in Å.
Fractional positions:
As  0.0454  0.1234  0.1863  5 F 1.76-1.77, 1 O 1.94
As  0.0454  0.3766  0.6863  5 F 1.76-1.77, 1 O 1.94
As  0.3676  0.6143  0.6788  1 O 1.71
As  0.3676  0.8857  0.1788  1 O 1.71
As  0.6324  0.1143  0.8212  1 O 1.71
As  0.6324  0.3857  0.3212  1 O 1.71
As  0.9546  0.6234  0.3137  5 F 1.76-1.77, 1 O 1.94
As  0.9546  0.8766  0.8137  5 F 1.76-1.77, 1 O 1.94
Cl  0.1932  0.6311  0.8621  1 As 2.11
Cl  0.1932  0.8689  0.3621  1 As 2.11
Cl  0.3873  0.0395  0.7197  1 As 2.10
Cl  0.3873  0.4605  0.2197  1 As 2.10
Cl  0.4703  0.2060  0.8474  1 As 2.10
Cl  0.4703  0.2940  0.3474  1 As 2.10
Cl  0.5297  0.7060  0.6526  1 As 2.10
Cl  0.5297  0.7940  0.1526  1 As 2.10
Cl  0.6127  0.5395  0.7803  1 As 2.10
Cl  0.6127  0.9605  0.2803  1 As 2.10
Cl  0.8068  0.1311  0.6379  1 As 2.11
Cl  0.8068  0.3689  0.1379  1 As 2.11
O  0.2042  0.5795  0.4851  1 As 1.71
O  0.2042  0.9205  0.9851  1 As 1.71
O  0.7958  0.0795  0.0149  1 As 1.71
O  0.7958  0.4205  0.5149  1 As 1.71
F  0.0107  0.1962  0.0480  1 As 1.77
F  0.0107  0.3038  0.5480  1 As 1.77
F  0.0575  0.0475  0.3081  1 As 1.76
F  0.0575  0.4525  0.8081  1 As 1.76
F  0.1474  0.6585  0.2165  1 As 1.77
F  0.1474  0.8415  0.7165  1 As 1.77
F  0.2248  0.0871  0.0790  1 As 1.76
F  0.2248  0.4129  0.5790  1 As 1.76
F  0.2726  0.1600  0.3497  1 As 1.76
F  0.2726  0.3400  0.8497  1 As 1.76
F  0.7274  0.6600  0.1503  1 As 1.76
F  0.7274  0.8400  0.6503  1 As 1.76
F  0.7752  0.5871  0.4210  1 As 1.76
F  0.7752  0.9129  0.9210  1 As 1.76
F  0.8526  0.1585  0.2835  1 As 1.77
F  0.8526  0.3415  0.7835  1 As 1.77
F  0.9425  0.5475  0.1919  1 As 1.76
F  0.9425  0.9525  0.6919  1 As 1.76
F  0.9893  0.6962  0.4520  1 As 1.77
F  0.9893  0.8038  0.9520  1 As 1.77

---

Below is Ba2LaTe after structural relaxation, with properties calculated at the PBE-GGA level.

The total energy is -3.39 eV per atom. Its crystal system is tetragonal. The value obtained for the magnetization is 0.00 μB per formula unit.

Unit cell a=7.0181 b=7.0181 c=7.0181 alpha=137.57 beta=137.57 gamma=61.56
Last column: nearest neighbours and their distance in Å.
Fractional positions:
Ba  0.2500  0.7500  0.5000  4 Ba 3.59, 4 La 3.94, 4 Te 3.94
Ba  0.7500  0.2500  0.5000  4 Ba 3.59, 4 La 3.94, 4 Te 3.94
La  0.0000  0.0000  0.0000  4 Te 3.59, 8 Ba 3.94
Te  0.5000  0.5000  0.0000  4 La 3.59, 8 Ba 3.94

---

Below is K2CoW after structural relaxation, with properties calculated at the PBE-GGA level.

Its crystal system is monoclinic. The value obtained for the magnetization is 0.71 μB per formula unit. For the energy of formation from the pure elements, the calculation gives 0.89 eV/atom.

Unit cell a=10.5326 b=10.5326 c=3.8246 alpha=99.94 beta=99.94 gamma=16.39
Last column: nearest neighbours and their distance in Å.
Fractional positions:
K  0.1455  0.1455  0.1375  2 K 3.00, 2 Co 3.34
K  0.8545  0.8545  0.8625  2 K 3.00, 2 Co 3.34
Co  0.5000  0.5000  0.0000  4 W 2.43
W  0.0000  0.0000  0.5000  4 Co 2.43

---

Record order is preserved below.
DOS(E_F): 0.00; 0.00; 6.29; 3.49 states/eV/f.u.